The following is a DFT calculation (PBE) of an optimized crystal structure of MnNbHRu2.

Cell: 3.985 3.985 3.784 Å, 90.00 90.00 90.00°
Fractional coordinates of all 5 atoms:
Mn: 0.000 0.000 0.000
Nb: 0.500 0.500 0.000
H: 0.000 0.000 0.500
Ru: 0.000 0.500 0.500
Ru: 0.500 0.000 0.500

Output
* spin magnetization: 2.414 Bohr magnetons per cell
* N(E_F): 0.70 states/eV per atom
* energy above the most stable polymorph in this dataset: 0.000 eV/atom
* V: 12.02 Å³ per atom



The following is a DFT calculation (PBE) of an optimized crystal structure of Tb2PrNdTl4.

Cell: 9.476 9.476 9.476 Å, 33.52 33.52 33.52°
Fractional coordinates of all 8 atoms:
Tb: 0.250 0.250 0.250
Tb: 0.750 0.750 0.750
Pr: 0.000 0.000 0.000
Nd: 0.500 0.500 0.500
Tl: 0.125 0.125 0.125
Tl: 0.375 0.375 0.375
Tl: 0.625 0.625 0.625
Tl: 0.875 0.875 0.875

Output
* spin magnetization: 0.000 Bohr magnetons per cell
* N(E_F): 0.81 states/eV per atom
* energy of formation: -369 meV/atom
* V: 28.89 Å³ per atom



The following is a DFT calculation (PBE) of an optimized crystal structure of Ac4I6O19.

Cell: 8.537 8.537 8.537 Å, 109.47 109.47 109.47°
Fractional coordinates of all 29 atoms:
Ac: 0.000 0.000 0.290
Ac: 0.000 0.290 0.000
Ac: 0.290 0.000 0.000
Ac: 0.710 0.710 0.710
I: 0.147 0.500 0.647
I: 0.353 0.853 0.500
I: 0.500 0.353 0.853
I: 0.500 0.647 0.147
I: 0.647 0.147 0.500
I: 0.853 0.500 0.353
O: 0.000 0.000 0.000
O: 0.000 0.300 0.300
O: 0.000 0.700 0.700
O: 0.045 0.694 0.322
O: 0.276 0.649 0.955
O: 0.300 0.000 0.300
O: 0.300 0.300 0.000
O: 0.306 0.351 0.627
O: 0.322 0.045 0.694
O: 0.351 0.627 0.306
O: 0.373 0.724 0.678
O: 0.627 0.306 0.351
O: 0.649 0.955 0.276
O: 0.678 0.373 0.724
O: 0.694 0.322 0.045
O: 0.700 0.000 0.700
O: 0.700 0.700 0.000
O: 0.724 0.678 0.373
O: 0.955 0.276 0.649

Output
* spin magnetization: 0.000 Bohr magnetons per cell
* N(E_F): 0.04 states/eV per atom
* ΔE_f (raw): -1124 meV per atom
* V: 16.51 Å³ per atom



The following is a DFT calculation (PBE) of an optimized crystal structure of RbReTcO6.

Cell: 5.342 5.342 6.235 Å, 90.00 90.00 120.00°
Fractional coordinates of all 9 atoms:
Rb: 0.000 0.000 0.000
Re: 0.333 0.667 0.500
Tc: 0.667 0.333 0.500
O: 0.010 0.401 0.671
O: 0.010 0.610 0.329
O: 0.390 0.401 0.329
O: 0.390 0.990 0.671
O: 0.599 0.610 0.671
O: 0.599 0.990 0.329

Output
* spin magnetization: 2.369 Bohr magnetons per cell
* N(E_F): 0.38 states/eV per atom
* ΔE_f (raw): -1531 meV per atom
* V: 17.13 Å³ per atom



The following is a DFT calculation (PBE) of an optimized crystal structure of HfMgCd.

Cell: 6.785 6.785 6.785 Å, 153.08 153.08 38.44°
Fractional coordinates of all 3 atoms:
Hf: 0.000 0.000 0.000
Mg: 0.328 0.328 0.000
Cd: 0.667 0.667 0.000

Output
* spin magnetization: 0.001 Bohr magnetons per cell
* N(E_F): 0.83 states/eV per atom
* energy of formation: 2 meV/atom
* V: 21.31 Å³ per atom



The following is a DFT calculation (PBE) of an optimized crystal structure of Er2ReB6.

Cell: 9.134 11.509 3.654 Å, 90.00 90.00 90.00°
Fractional coordinates of all 36 atoms:
Er: 0.057 0.130 0.000
Er: 0.177 0.414 0.000
Er: 0.323 0.914 0.000
Er: 0.443 0.630 0.000
Er: 0.557 0.370 0.000
Er: 0.677 0.086 0.000
Er: 0.823 0.586 0.000
Er: 0.943 0.870 0.000
Re: 0.138 0.679 0.000
Re: 0.362 0.179 0.000
Re: 0.638 0.821 0.000
Re: 0.862 0.321 0.000
B: 0.019 0.288 0.500
B: 0.053 0.567 0.500
B: 0.100 0.972 0.500
B: 0.130 0.815 0.500
B: 0.208 0.235 0.500
B: 0.249 0.581 0.500
B: 0.251 0.081 0.500
B: 0.292 0.735 0.500
B: 0.370 0.315 0.500
B: 0.400 0.472 0.500
B: 0.447 0.067 0.500
B: 0.481 0.788 0.500
B: 0.519 0.212 0.500
B: 0.553 0.933 0.500
B: 0.600 0.528 0.500
B: 0.630 0.685 0.500
B: 0.708 0.265 0.500
B: 0.749 0.919 0.500
B: 0.751 0.419 0.500
B: 0.792 0.765 0.500
B: 0.870 0.185 0.500
B: 0.900 0.028 0.500
B: 0.947 0.433 0.500
B: 0.981 0.712 0.500

Output
* spin magnetization: 0.000 Bohr magnetons per cell
* N(E_F): 0.30 states/eV per atom
* energy above the most stable polymorph in this dataset: 0.000 eV/atom
* energy of formation: -662 meV/atom
* V: 10.67 Å³ per atom



The following is a DFT calculation (PBE) of an optimized crystal structure of Ho2Al8Ag.

Cell: 4.335 4.335 11.238 Å, 90.00 90.00 90.00°
Fractional coordinates of all 11 atoms:
Ho: 0.000 0.000 0.184
Ho: 0.000 0.000 0.816
Al: 0.000 0.500 0.000
Al: 0.000 0.500 0.367
Al: 0.000 0.500 0.633
Al: 0.500 0.000 0.000
Al: 0.500 0.000 0.367
Al: 0.500 0.000 0.633
Al: 0.500 0.500 0.193
Al: 0.500 0.500 0.807
Ag: 0.000 0.000 0.500

Output
* spin magnetization: 0.000 Bohr magnetons per cell
* N(E_F): 0.34 states/eV per atom
* energy of formation: -274 meV/atom
* V: 19.20 Å³ per atom



The following is a DFT calculation (PBE) of an optimized crystal structure of Zr2PaCo.

Cell: 6.429 8.992 5.804 Å, 90.00 90.00 90.00°
Fractional coordinates of all 16 atoms:
Zr: 0.188 0.062 0.147
Zr: 0.188 0.438 0.147
Zr: 0.312 0.562 0.647
Zr: 0.312 0.938 0.647
Zr: 0.688 0.062 0.353
Zr: 0.688 0.438 0.353
Zr: 0.812 0.562 0.853
Zr: 0.812 0.938 0.853
Pa: 0.045 0.250 0.662
Pa: 0.455 0.750 0.162
Pa: 0.545 0.250 0.838
Pa: 0.955 0.750 0.338
Co: 0.131 0.750 0.951
Co: 0.369 0.250 0.451
Co: 0.631 0.750 0.549
Co: 0.869 0.250 0.049

Output
* spin magnetization: 0.000 Bohr magnetons per cell
* N(E_F): 1.46 states/eV per atom
* energy above the most stable polymorph in this dataset: 0.000 eV/atom
* energy of formation: -197 meV/atom
* V: 20.97 Å³ per atom



The following is a DFT calculation (PBE) of an optimized crystal structure of AcSmBr.

Cell: 3.924 3.924 7.978 Å, 90.00 90.00 120.00°
Fractional coordinates of all 3 atoms:
Ac: 0.000 0.000 0.000
Sm: 0.333 0.667 0.626
Br: 0.667 0.333 0.350

Output
* spin magnetization: 0.468 Bohr magnetons per cell
* N(E_F): 1.11 states/eV per atom
* ΔE_f (raw): -734 meV per atom
* V: 35.46 Å³ per atom



The following is a DFT calculation (PBE) of an optimized crystal structure of HfZr2CuPd.

Cell: 4.847 4.847 4.631 Å, 90.00 90.00 90.00°
Fractional coordinates of all 5 atoms:
Hf: 0.000 0.000 0.000
Zr: 0.000 0.500 0.500
Zr: 0.500 0.000 0.500
Cu: 0.500 0.500 0.500
Pd: 0.500 0.500 0.000

Output
* spin magnetization: 0.000 Bohr magnetons per cell
* N(E_F): 1.77 states/eV per atom
* energy of formation: 492 meV/atom
* V: 21.76 Å³ per atom



The following is a DFT calculation (PBE) of an optimized crystal structure of KInW.

Cell: 8.620 8.555 2.886 Å, 81.59 79.07 19.34°
Fractional coordinates of all 3 atoms:
K: 0.000 0.000 0.000
In: 0.318 0.318 0.682
W: 0.680 0.680 0.320

Output
* spin magnetization: 0.000 Bohr magnetons per cell
* N(E_F): 0.24 states/eV per atom
* energy above the most stable polymorph in this dataset: 0.000 eV/atom
* energy of formation: 906 meV/atom
* V: 22.95 Å³ per atom



The following is a DFT calculation (PBE) of an optimized crystal structure of RbZr3Be.

Cell: 4.991 4.991 4.991 Å, 90.00 90.00 90.00°
Fractional coordinates of all 5 atoms:
Rb: 0.000 0.000 0.000
Zr: 0.000 0.000 0.500
Zr: 0.000 0.500 0.000
Zr: 0.500 0.000 0.000
Be: 0.500 0.500 0.500

Output
* spin magnetization: 0.000 Bohr magnetons per cell
* N(E_F): 1.87 states/eV per atom
* energy above the most stable polymorph in this dataset: 1.463 eV/atom
* energy of formation: 2366 meV/atom
* V: 24.87 Å³ per atom



What is the spin magnetization in the second record? 0.000 Bohr magnetons per cell